[1]
## NdEr6Tm3Sc2 (PBE)

Data for a relaxed NdEr6Tm3Sc2 crystal.

```
NdEr6Tm3Sc2
1.0
-2.160 -1.361 -5.444
-1.365 -3.462 4.722
-7.996 7.997 2.278
Nd Er Tm Sc
1 6 3 2
Direct
0.000 0.000 0.000
0.917 0.581 0.752
0.747 0.747 0.248
0.083 0.419 0.248
0.581 0.917 0.752
0.253 0.253 0.752
0.419 0.083 0.248
0.167 0.833 0.500
0.833 0.167 0.500
0.500 0.500 0.500
0.333 0.667 0.000
0.667 0.333 0.000
```

Output
The calculation puts the total energy at -4.81 eV/atom. Its energy of formation from the pure elements is 0.039 eV per atom.


[2]
## LiGeAuBr2 (PBE)

Data for a relaxed LiGeAuBr2 crystal.

```
LiGeAuBr2
1.0
-1.733 -4.924 -1.130
4.951 -1.578 -0.716
0.332 -1.303 5.169
Ge Au Br Li
1 1 2 1
Direct
0.000 0.000 0.000
0.500 0.500 0.500
0.000 0.000 0.500
0.500 0.000 0.000
0.000 0.500 0.000
```

Output
The calculation puts the total energy at -2.42 eV/atom. Its formation energy from raw total energies is 0.208 eV/atom.


[3]
## Sc2SbAs (PBE)

Data for a relaxed Sc2SbAs crystal.

```
Sc2SbAs
1.0
9.336 -0.028 -0.016
8.711 3.356 -0.016
8.711 1.607 2.947
As Sb Sc
1 1 2
Direct
0.498 0.498 0.498
0.245 0.245 0.245
0.996 0.996 0.996
0.760 0.760 0.760
```

Output
The calculation puts the total energy at -5.52 eV/atom. Its formation energy from raw total energies is -0.165 eV/atom.


Calculated total moment (μB per atom), listed in the same order as above: 0.0000, 0.0000, 0.1709